Entry 1:
DFT (PBE-GGA) results for crystalline Be3NbSi at its relaxed geometry.

Results
The value obtained for the energy relative to the elements, uncorrected is 844 meV/atom. As for the total energy: -4.4899 eV/atom. Its relative energy among the computed polymorphs is 0.0 meV/atom. The density of states at the Fermi level comes out at 0.418 states/eV/atom.

a b c (Å): 4.036 4.036 4.036
angles (deg): 90.00 90.00 90.00
Fractional coordinates of all 5 atoms:
1 Be 0.000 0.500 0.000
2 Be 0.000 0.000 0.500
3 Be 0.500 0.000 0.000
4 Nb 0.500 0.500 0.500
5 Si 0.000 0.000 0.000



Entry 2:
DFT (PBE-GGA) results for crystalline TaBeNb2Si at its relaxed geometry.

Results
The value obtained for the energy relative to the elements, uncorrected is 541 meV/atom. As for the total energy: -7.6874 eV/atom. The density of states at the Fermi level comes out at 0.394 states/eV/atom.

a b c (Å): 4.740 3.863 4.740
angles (deg): 90.00 90.00 90.00
Fractional coordinates of all 5 atoms:
1 Be 0.000 0.500 0.000
2 Nb 0.000 0.000 0.500
3 Nb 0.500 0.000 0.000
4 Si 0.000 0.000 0.000
5 Ta 0.500 0.500 0.500



Entry 3:
DFT (PBE-GGA) results for crystalline BeNbSi2Te at its relaxed geometry.

Results
The value obtained for the energy relative to the elements, uncorrected is 811 meV/atom. As for the total energy: -4.7462 eV/atom. The density of states at the Fermi level comes out at 0.927 states/eV/atom.

a b c (Å): 4.184 5.326 4.184
angles (deg): 90.00 90.00 90.00
Last column: magnetic moment on the atom in μB.
Fractional coordinates of all 5 atoms:
1 Be 0.000 0.000 0.000  0.03
2 Nb 0.500 0.500 0.500  1.37
3 Te 0.000 0.500 0.000  -0.02
4 Si 0.000 0.000 0.500  -0.02
5 Si 0.500 0.000 0.000  -0.04



Entry 4:
DFT (PBE-GGA) results for crystalline ThBe2NbSi2 at its relaxed geometry.

Results
The value obtained for the energy relative to the elements, uncorrected is -526 meV/atom. As for the total energy: -6.4902 eV/atom. The density of states at the Fermi level comes out at 0.375 states/eV/atom.

a b c (Å): 3.782 3.782 7.680
angles (deg): 90.00 90.00 120.00
Fractional coordinates of all 6 atoms:
1 Th 0.000 0.000 0.000
2 Be 0.667 0.333 0.708
3 Be 0.333 0.667 0.292
4 Nb 0.000 0.000 0.500
5 Si 0.667 0.333 0.280
6 Si 0.333 0.667 0.720



Entry 5:
DFT (PBE-GGA) results for crystalline BeNb2TlSi at its relaxed geometry.

Results
The value obtained for the energy relative to the elements, uncorrected is 580 meV/atom. As for the total energy: -5.7507 eV/atom. The density of states at the Fermi level comes out at 1.452 states/eV/atom.

a b c (Å): 4.811 4.101 4.811
angles (deg): 90.00 90.00 90.00
Fractional coordinates of all 5 atoms:
1 Be 0.000 0.500 0.000
2 Tl 0.500 0.500 0.500
3 Si 0.000 0.000 0.000
4 Nb 0.000 0.000 0.500
5 Nb 0.500 0.000 0.000



Entry 6:
DFT (PBE-GGA) results for crystalline BeNbVSi2 at its relaxed geometry.

Results
The value obtained for the energy relative to the elements, uncorrected is 634 meV/atom. As for the total energy: -6.1185 eV/atom. The density of states at the Fermi level comes out at 1.140 states/eV/atom.

a b c (Å): 4.104 4.292 4.104
angles (deg): 90.00 90.00 90.00
Fractional coordinates of all 5 atoms:
1 Be 0.000 0.000 0.000
2 Nb 0.000 0.500 0.000
3 Si 0.000 0.000 0.500
4 Si 0.500 0.000 0.000
5 V 0.500 0.500 0.500



Entry 7:
DFT (PBE-GGA) results for crystalline BeNb2SiW at its relaxed geometry.

Results
The value obtained for the energy relative to the elements, uncorrected is 772 meV/atom. As for the total energy: -7.6768 eV/atom. The density of states at the Fermi level comes out at 0.642 states/eV/atom.

a b c (Å): 4.725 3.803 4.725
angles (deg): 90.00 90.00 90.00
Fractional coordinates of all 5 atoms:
1 Be 0.000 0.500 0.000
2 Nb 0.000 0.000 0.500
3 Nb 0.500 0.000 0.000
4 Si 0.000 0.000 0.000
5 W 0.500 0.500 0.500



Entry 8:
DFT (PBE-GGA) results for crystalline Be2NbSn at its relaxed geometry.

Results
As for the total energy: -4.8840 eV/atom. The density of states at the Fermi level comes out at 0.639 states/eV/atom. The calculation puts the formation energy at 0.4972 eV/atom.

a b c (Å): 6.773 6.773 5.519
angles (deg): 52.15 52.15 90.00
Fractional coordinates of all 8 atoms:
1 Be 0.630 0.125 0.250
2 Be 0.120 0.625 0.250
3 Be 0.375 0.370 0.750
4 Be 0.875 0.880 0.750
5 Nb 0.500 0.500 0.000
6 Nb 0.250 0.750 0.500
7 Sn 0.000 0.000 0.000
8 Sn 0.750 0.250 0.500



Entry 9:
DFT (PBE-GGA) results for crystalline BeNbSn2 at its relaxed geometry.

Results
As for the total energy: -4.9626 eV/atom. The density of states at the Fermi level comes out at 1.044 states/eV/atom. The calculation puts the formation energy at 0.4878 eV/atom.

a b c (Å): 7.431 7.431 5.964
angles (deg): 51.47 51.47 90.00
Fractional coordinates of all 8 atoms:
1 Be 0.500 0.500 0.000
2 Be 0.250 0.750 0.500
3 Nb 0.000 0.000 0.000
4 Nb 0.750 0.250 0.500
5 Sn 0.573 0.125 0.250
6 Sn 0.177 0.625 0.250
7 Sn 0.375 0.427 0.750
8 Sn 0.875 0.823 0.750



Entry 10:
DFT (PBE-GGA) results for crystalline BeNb2SnW at its relaxed geometry.

Results
As for the total energy: -7.4422 eV/atom. The density of states at the Fermi level comes out at 0.778 states/eV/atom. The calculation puts the formation energy at 0.7222 eV/atom.

a b c (Å): 4.508 4.239 4.508
angles (deg): 90.00 90.00 90.00
Fractional coordinates of all 5 atoms:
1 Be 0.000 0.000 0.000
2 Nb 0.000 0.000 0.500
3 Nb 0.500 0.000 0.000
4 Sn 0.000 0.500 0.000
5 W 0.500 0.500 0.500



Entry 11:
DFT (PBE-GGA) results for crystalline Be2NbSnW at its relaxed geometry.

Results
As for the total energy: -5.7312 eV/atom. The density of states at the Fermi level comes out at 0.804 states/eV/atom. The calculation puts the formation energy at 1.1645 eV/atom.

a b c (Å): 4.463 4.850 4.463
angles (deg): 90.00 90.00 90.00
Fractional coordinates of all 5 atoms:
1 Be 0.000 0.000 0.500
2 Be 0.500 0.000 0.000
3 Nb 0.000 0.500 0.000
4 Sn 0.500 0.500 0.500
5 W 0.000 0.000 0.000



Entry 12:
DFT (PBE-GGA) results for crystalline Sr3BeNb at its relaxed geometry.

Results
As for the total energy: -2.7648 eV/atom. Its relative energy among the computed polymorphs is 0.0 meV/atom. The density of states at the Fermi level comes out at 0.867 states/eV/atom. The calculation puts the formation energy at 1.0034 eV/atom.

a b c (Å): 5.824 5.824 5.824
angles (deg): 90.00 90.00 90.00
Last column: magnetic moment on the atom in μB.
Fractional coordinates of all 5 atoms:
1 Sr 0.000 0.500 0.000  0.00
2 Sr 0.000 0.000 0.500  0.02
3 Sr 0.500 0.000 0.000  0.00
4 Nb 0.500 0.500 0.500  2.88
5 Be 0.000 0.000 0.000  -0.10



Entry 13:
DFT (PBE-GGA) results for crystalline Sr3BeNb at its relaxed geometry.

Results
As for the total energy: -2.4634 eV/atom. Its relative energy among the computed polymorphs is 301.5 meV/atom. The density of states at the Fermi level comes out at 1.112 states/eV/atom. The calculation puts the formation energy at 1.3049 eV/atom.

a b c (Å): 5.842 5.842 5.842
angles (deg): 90.00 90.00 90.00
Fractional coordinates of all 5 atoms:
1 Sr 0.000 0.500 0.000
2 Sr 0.000 0.000 0.500
3 Sr 0.500 0.000 0.000
4 Nb 0.000 0.000 0.000
5 Be 0.500 0.500 0.500



Entry 14:
DFT (PBE-GGA) results for crystalline SrBeNb2W at its relaxed geometry.

Results
As for the total energy: -4.5580 eV/atom. The density of states at the Fermi level comes out at 0.954 states/eV/atom. The calculation puts the formation energy at 3.1421 eV/atom.

a b c (Å): 4.846 4.780 4.846
angles (deg): 90.00 90.00 90.00
Fractional coordinates of all 5 atoms:
1 Sr 0.000 0.000 0.000
2 Nb 0.000 0.000 0.500
3 Nb 0.500 0.000 0.000
4 W 0.000 0.500 0.000
5 Be 0.500 0.500 0.500



Entry 15:
DFT (PBE-GGA) results for crystalline SrBe2NbZn at its relaxed geometry.

Results
As for the total energy: -2.9052 eV/atom. The density of states at the Fermi level comes out at 0.612 states/eV/atom. The calculation puts the formation energy at 1.1904 eV/atom.

a b c (Å): 4.410 5.300 4.410
angles (deg): 90.00 90.00 90.00
Last column: magnetic moment on the atom in μB.
Fractional coordinates of all 5 atoms:
1 Sr 0.000 0.500 0.000  0.11
2 Nb 0.500 0.500 0.500  2.02
3 Zn 0.000 0.000 0.000  -0.02
4 Be 0.000 0.000 0.500  -0.04
5 Be 0.500 0.000 0.000  -0.02



Entry 16:
DFT (PBE-GGA) results for crystalline TaBe6Nb2 at its relaxed geometry.

Results
As for the total energy: -6.2467 eV/atom. The density of states at the Fermi level comes out at 0.228 states/eV/atom. The calculation puts the formation energy at -0.2079 eV/atom.

a b c (Å): 3.003 6.345 6.345
angles (deg): 120.00 90.00 90.00
Fractional coordinates of all 9 atoms:
1 Ta 0.000 0.000 0.000
2 Be 0.500 0.333 0.333
3 Be 0.500 0.667 0.667
4 Be 0.500 0.000 0.667
5 Be 0.500 0.667 0.000
6 Be 0.500 0.333 0.000
7 Be 0.500 0.000 0.333
8 Nb 0.000 0.333 0.667
9 Nb 0.000 0.667 0.333



Entry 17:
DFT (PBE-GGA) results for crystalline TaBe17Nb at its relaxed geometry.

Results
As for the total energy: -4.6919 eV/atom. The density of states at the Fermi level comes out at 0.208 states/eV/atom. The calculation puts the formation energy at -0.2041 eV/atom.

a b c (Å): 5.558 5.558 5.558
angles (deg): 83.00 83.00 83.00
Fractional coordinates of all 19 atoms:
1 Ta 0.340 0.340 0.340
2 Be 0.295 0.000 0.705
3 Be 0.705 0.295 0.000
4 Be 0.000 0.705 0.295
5 Be 0.295 0.705 0.000
6 Be 0.000 0.295 0.705
7 Be 0.705 0.000 0.295
8 Be 0.347 0.838 0.347
9 Be 0.347 0.347 0.838
10 Be 0.838 0.347 0.347
11 Be 0.653 0.161 0.653
12 Be 0.653 0.653 0.161
13 Be 0.161 0.653 0.653
14 Be 0.001 0.499 0.001
15 Be 0.001 0.001 0.499
16 Be 0.499 0.001 0.001
17 Be 0.901 0.901 0.901
18 Be 0.099 0.099 0.099
19 Nb 0.660 0.660 0.660



Entry 18:
DFT (PBE-GGA) results for crystalline TaBeNb at its relaxed geometry.

Results
As for the total energy: -8.6884 eV/atom. Its relative energy among the computed polymorphs is 0.0 meV/atom. The density of states at the Fermi level comes out at 0.772 states/eV/atom. The calculation puts the formation energy at -0.1389 eV/atom.

a b c (Å): 4.927 4.927 4.942
angles (deg): 104.24 104.24 120.43
Fractional coordinates of all 6 atoms:
1 Ta 0.161 0.161 0.322
2 Ta 0.839 0.839 0.678
3 Be 0.750 0.250 0.500
4 Be 0.250 0.750 0.500
5 Nb 0.341 0.659 0.000
6 Nb 0.659 0.341 0.000



Entry 19:
DFT (PBE-GGA) results for crystalline TaBe3Nb at its relaxed geometry.

Results
As for the total energy: -5.3202 eV/atom. Its relative energy among the computed polymorphs is 1470.4 meV/atom. The density of states at the Fermi level comes out at 0.254 states/eV/atom. The calculation puts the formation energy at 1.3000 eV/atom.

a b c (Å): 4.184 4.184 4.184
angles (deg): 90.00 90.00 90.00
Fractional coordinates of all 5 atoms:
1 Be 0.000 0.500 0.000
2 Be 0.000 0.000 0.500
3 Be 0.500 0.000 0.000
4 Nb 0.000 0.000 0.000
5 Ta 0.500 0.500 0.500



Entry 20:
DFT (PBE-GGA) results for crystalline TaBeNb2 at its relaxed geometry.

Results
As for the total energy: -8.4550 eV/atom. The density of states at the Fermi level comes out at 0.381 states/eV/atom. The calculation puts the formation energy at 0.4746 eV/atom.

a b c (Å): 7.263 7.263 5.735
angles (deg): 50.71 50.71 90.00
Fractional coordinates of all 8 atoms:
1 Be 0.500 0.500 0.000
2 Be 0.250 0.750 0.500
3 Nb 0.585 0.125 0.250
4 Nb 0.165 0.625 0.250
5 Nb 0.375 0.415 0.750
6 Nb 0.875 0.835 0.750
7 Ta 0.000 0.000 0.000
8 Ta 0.750 0.250 0.500



Entry 21:
DFT (PBE-GGA) results for crystalline TaBeNb2 at its relaxed geometry.

Results
As for the total energy: -8.6279 eV/atom. The density of states at the Fermi level comes out at 0.807 states/eV/atom. The calculation puts the formation energy at 0.3016 eV/atom.

a b c (Å): 3.207 3.207 7.659
angles (deg): 77.91 77.91 60.00
Fractional coordinates of all 4 atoms:
1 Be 0.500 0.500 0.500
2 Nb 0.239 0.239 0.283
3 Nb 0.761 0.761 0.717
4 Ta 0.000 0.000 0.000



Entry 22:
DFT (PBE-GGA) results for crystalline TaBeNb2 at its relaxed geometry.

Results
As for the total energy: -8.9329 eV/atom. The density of states at the Fermi level comes out at 0.625 states/eV/atom. The calculation puts the formation energy at -0.0033 eV/atom.

a b c (Å): 3.304 3.304 5.891
angles (deg): 90.00 90.00 90.00
Fractional coordinates of all 4 atoms:
1 Be 0.500 0.500 0.000
2 Nb 0.000 0.000 0.772
3 Nb 0.000 0.000 0.228
4 Ta 0.500 0.500 0.500



Entry 23:
DFT (PBE-GGA) results for crystalline TaBe2Nb at its relaxed geometry.

Results
As for the total energy: -7.0548 eV/atom. Its relative energy among the computed polymorphs is 453.3 meV/atom. The density of states at the Fermi level comes out at 0.649 states/eV/atom. The calculation puts the formation energy at 0.2889 eV/atom.

a b c (Å): 3.395 3.395 5.943
angles (deg): 73.40 73.40 60.00
Fractional coordinates of all 4 atoms:
1 Be 0.252 0.252 0.245
2 Be 0.748 0.748 0.755
3 Nb 0.000 0.000 0.000
4 Ta 0.500 0.500 0.500



Entry 24:
DFT (PBE-GGA) results for crystalline TaBeNb at its relaxed geometry.

Results
As for the total energy: -8.4568 eV/atom. Its relative energy among the computed polymorphs is 231.6 meV/atom. The density of states at the Fermi level comes out at 0.815 states/eV/atom. The calculation puts the formation energy at 0.0927 eV/atom.

a b c (Å): 6.172 6.486 5.086
angles (deg): 89.93 65.79 89.35
Fractional coordinates of all 12 atoms:
1 Nb 0.138 0.258 0.327
2 Nb 0.145 0.226 0.827
3 Nb 0.664 0.404 0.293
4 Nb 0.361 0.740 0.674
5 Be 0.046 0.563 0.095
6 Be 0.456 0.437 0.908
7 Be 0.473 0.072 0.392
8 Be 0.029 0.929 0.607
9 Ta 0.836 0.598 0.708
10 Ta 0.849 0.898 0.199
11 Ta 0.652 0.100 0.798
12 Ta 0.358 0.775 0.173



Entry 25:
DFT (PBE-GGA) results for crystalline TaBe2Nb at its relaxed geometry.

Results
As for the total energy: -7.3635 eV/atom. Its relative energy among the computed polymorphs is 144.5 meV/atom. The density of states at the Fermi level comes out at 0.435 states/eV/atom. The calculation puts the formation energy at -0.0198 eV/atom.

a b c (Å): 3.507 3.937 3.937
angles (deg): 90.00 90.00 90.00
Fractional coordinates of all 4 atoms:
1 Be 0.000 0.000 0.500
2 Be 0.000 0.500 0.000
3 Nb 0.500 0.000 0.000
4 Ta 0.500 0.500 0.500



Entry 26:
DFT (PBE-GGA) results for crystalline TaBe2Nb at its relaxed geometry.

Results
As for the total energy: -7.5077 eV/atom. Its relative energy among the computed polymorphs is 0.4 meV/atom. The density of states at the Fermi level comes out at 0.910 states/eV/atom. The calculation puts the formation energy at -0.1640 eV/atom.

a b c (Å): 3.381 3.430 4.883
angles (deg): 90.00 110.19 90.00
Fractional coordinates of all 4 atoms:
1 Ta 0.433 0.500 0.403
2 Be 0.149 0.500 0.838
3 Be 0.017 0.000 0.572
4 Nb 0.732 0.000 0.005



Entry 27:
DFT (PBE-GGA) results for crystalline TaBe2Nb at its relaxed geometry.

Results
As for the total energy: -7.5081 eV/atom. Its relative energy among the computed polymorphs is 0.0 meV/atom. The density of states at the Fermi level comes out at 0.682 states/eV/atom. The calculation puts the formation energy at -0.1644 eV/atom.

a b c (Å): 3.373 4.887 6.471
angles (deg): 90.00 90.00 90.00
Fractional coordinates of all 8 atoms:
1 Ta 0.500 0.371 0.323
2 Ta 0.500 0.629 0.823
3 Be 0.000 0.627 0.534
4 Be 0.000 0.373 0.034
5 Be 0.500 0.873 0.466
6 Be 0.500 0.127 0.966
7 Nb 0.000 0.127 0.678
8 Nb 0.000 0.873 0.178